# 1
# PBE GaReNCl2, optimized geometry
data_GaReNCl2
_cell_length_a 4.487
_cell_length_b 4.487
_cell_length_c 5.335
_cell_angle_alpha 90.00
_cell_angle_beta 90.00
_cell_angle_gamma 90.00
_space_group_name_H-M_alt 'P 4/m m m'
_space_group_IT_number 123
_space_group_name_Hall '-P 4 2'
loop_
_atom_site_label
_atom_site_fract_x
_atom_site_fract_y
_atom_site_fract_z
Ga1 0.000 0.000 0.000
Re1 0.000 0.000 0.500
N1 0.500 0.500 0.000
Cl1 0.000 0.500 0.500
# - Energy relative to the elements, uncorrected: 1434 meV per atom
# - Magnetization: 0.00 μB/cell
# - Raw total energy: -4.06 eV per atom

---

# 2
# PBE Ti4MnTc, optimized geometry
data_Ti4MnTc
_cell_length_a 4.3913
_cell_length_b 4.3913
_cell_length_c 18.6639
_cell_angle_alpha 90.00
_cell_angle_beta 90.00
_cell_angle_gamma 120.00
_space_group_name_H-M_alt 'R -3 m'
_space_group_IT_number 166
_space_group_name_Hall '-R 3 2"'
loop_
_atom_site_label
_atom_site_fract_x
_atom_site_fract_y
_atom_site_fract_z
Ti1 0.0000 0.0000 0.1203
Ti2 0.0000 0.0000 0.3699
Mn1 0.0000 0.0000 0.0000
Tc1 0.0000 0.0000 0.5000
# - DFT formation energy: 0.150 eV/atom
# - Magnetization: 0.00 μB/cell
# - Offset from the most stable computed form: 0.391 eV per atom
# - Raw total energy: -8.37 eV per atom

---

# 3
# PBE ZrReAg2, optimized geometry
data_ZrReAg2
_cell_length_a 3.630
_cell_length_b 3.630
_cell_length_c 5.509
_cell_angle_alpha 90.00
_cell_angle_beta 90.00
_cell_angle_gamma 90.00
_space_group_name_H-M_alt 'P 4/m m m'
_space_group_IT_number 123
_space_group_name_Hall '-P 4 2'
loop_
_atom_site_label
_atom_site_fract_x
_atom_site_fract_y
_atom_site_fract_z
Zr1 0.000 0.000 0.000
Re1 0.000 0.000 0.500
Ag1 0.500 0.500 0.257
# - DFT formation energy: 0.517 eV/atom
# - Magnetization: 0.00 μB/cell
# - Offset from the most stable computed form: 0.308 eV per atom
# - Raw total energy: -6.16 eV per atom

---

# 4
# PBE AcHo3ErTm, optimized geometry
data_AcHo3ErTm
_cell_length_a 16.883
_cell_length_b 5.482
_cell_length_c 8.689
_cell_angle_alpha 90.00
_cell_angle_beta 93.04
_cell_angle_gamma 90.00
_space_group_name_H-M_alt 'C 1 2/m 1'
_space_group_IT_number 12
loop_
_space_group_symop_operation_xyz
'x,y,z'
'-x,-y,-z'
'-x,y,-z'
'x,-y,z'
'x+1/2,y+1/2,z'
'-x+1/2,-y+1/2,-z'
'-x+1/2,y+1/2,-z'
'x+1/2,-y+1/2,z'
loop_
_atom_site_label
_atom_site_fract_x
_atom_site_fract_y
_atom_site_fract_z
Ac1 0.099 0.000 0.096
Ho1 0.059 0.000 0.649
Ho2 0.111 0.500 0.824
Ho3 0.250 0.000 0.834
Er1 0.224 0.000 0.422
Tm1 0.084 0.500 0.402
# - DFT formation energy: 0.116 eV/atom
# - Magnetization: 0.00 μB/cell
# - Raw total energy: -4.36 eV per atom

---

# 5
# PBE Cr2CuRh2, optimized geometry
data_Cr2CuRh2
_cell_length_a 7.204
_cell_length_b 7.204
_cell_length_c 2.649
_cell_angle_alpha 90.00
_cell_angle_beta 90.00
_cell_angle_gamma 90.00
_space_group_name_H-M_alt 'P 4/m b m'
_space_group_IT_number 127
_space_group_name_Hall '-P 4 2ab'
loop_
_atom_site_label
_atom_site_fract_x
_atom_site_fract_y
_atom_site_fract_z
Cr1 0.165 0.335 0.000
Cu1 0.000 0.000 0.500
Rh1 0.131 0.631 0.500
# - DFT formation energy: 0.185 eV/atom
# - Magnetization: 0.00 μB/cell
# - Offset from the most stable computed form: 0.022 eV per atom
# - Raw total energy: -7.42 eV per atom

---

# 6
# PBE AcZn9Ir2, optimized geometry
data_AcZn9Ir2
_cell_length_a 8.2989
_cell_length_b 8.2989
_cell_length_c 3.8207
_cell_angle_alpha 90.00
_cell_angle_beta 90.00
_cell_angle_gamma 120.00
_space_group_name_H-M_alt 'P 6/m m m'
_space_group_IT_number 191
_space_group_name_Hall '-P 6 2'
loop_
_atom_site_label
_atom_site_fract_x
_atom_site_fract_y
_atom_site_fract_z
Ac1 0.0000 0.0000 0.0000
Zn1 0.0000 0.5000 0.0000
Zn2 0.2036 0.4072 0.5000
Ir1 0.3333 0.6667 0.0000
# - DFT formation energy: -0.169 eV/atom
# - Magnetization: 0.00 μB/cell
# - Offset from the most stable computed form: 0.000 eV per atom
# - Raw total energy: -2.94 eV per atom

---

> What is the formula in the sixth record?

AcZn9Ir2

---

> Number 3 is which compound?

ZrReAg2

---

Repeat the second record exactly.
# PBE Ti4MnTc, optimized geometry
data_Ti4MnTc
_cell_length_a 4.3913
_cell_length_b 4.3913
_cell_length_c 18.6639
_cell_angle_alpha 90.00
_cell_angle_beta 90.00
_cell_angle_gamma 120.00
_space_group_name_H-M_alt 'R -3 m'
_space_group_IT_number 166
_space_group_name_Hall '-R 3 2"'
loop_
_atom_site_label
_atom_site_fract_x
_atom_site_fract_y
_atom_site_fract_z
Ti1 0.0000 0.0000 0.1203
Ti2 0.0000 0.0000 0.3699
Mn1 0.0000 0.0000 0.0000
Tc1 0.0000 0.0000 0.5000
# - DFT formation energy: 0.150 eV/atom
# - Magnetization: 0.00 μB/cell
# - Offset from the most stable computed form: 0.391 eV per atom
# - Raw total energy: -8.37 eV per atom